Below is a geometry-optimized SrTc2AsF structure, with properties calculated at the PBE-GGA level.

The value obtained for the total energy is -5.726 eV/atom. The raw formation energy is 0.06 eV per atom. Its space-group type is No. 123.

abc: 4.6180 4.6180 5.5703
angles: 90.00 90.00 90.00
Sites, in units of the cell vectors:
1 Sr 0.0000 0.0000 0.0000
2 Tc 0.0000 0.5000 0.5000
3 Tc 0.5000 0.0000 0.5000
4 As 0.5000 0.5000 0.5000
5 F 0.5000 0.5000 0.0000